First-principles (PBE) data for a geometry-optimized Co2ReRh structure, as listed in the Alexandria database.

Structure (CIF):
```
data_Co2ReRh
_chemical_formula_sum 'Co2 Re1 Rh1'
_cell_length_a 2.6935
_cell_length_b 4.3800
_cell_length_c 4.4799
_cell_angle_alpha 90.00
_cell_angle_beta 90.00
_cell_angle_gamma 90.00
_space_group_name_H-M_alt 'P m m m'
_space_group_IT_number 47
loop_
_space_group_symop_operation_xyz
'x,y,z'
'-x,-y,-z'
'-x,-y,z'
'x,y,-z'
'x,-y,-z'
'-x,y,z'
'-x,y,-z'
'x,-y,z'
loop_
_atom_site_label
_atom_site_type_symbol
_atom_site_fract_x
_atom_site_fract_y
_atom_site_fract_z
Co1 Co 0.0000 0.0000 0.0000
Co2 Co 0.5000 0.0000 0.5000
Re1 Re 0.0000 0.5000 0.5000
Rh1 Rh 0.5000 0.5000 0.0000
```

Properties
energy above the most stable polymorph in this dataset = 304.1 meV/atom
energy = -32.7 eV per cell
energy of formation = 0.33 eV per atom



First-principles (PBE) data for a geometry-optimized BeNbCo2 structure, as listed in the Alexandria database.

Structure (CIF):
```
data_BeNbCo2
_chemical_formula_sum 'Be2 Nb2 Co4'
_cell_length_a 2.5375
_cell_length_b 4.2069
_cell_length_c 9.2882
_cell_angle_alpha 90.00
_cell_angle_beta 90.00
_cell_angle_gamma 90.00
_space_group_name_H-M_alt 'I m m m'
_space_group_IT_number 71
_space_group_name_Hall '-I 2 2'
loop_
_atom_site_label
_atom_site_type_symbol
_atom_site_fract_x
_atom_site_fract_y
_atom_site_fract_z
Be1 Be 0.0000 0.0000 0.0000
Nb1 Nb 0.0000 0.0000 0.5000
Co1 Co 0.0000 0.0000 0.2167
```

Properties
energy = -53.4 eV per cell
energy of formation = 0.33 eV per atom



First-principles (PBE) data for a geometry-optimized Ti6HCN structure, as listed in the Alexandria database.

Structure (CIF):
```
data_Ti6HCN
_chemical_formula_sum 'Ti12 H2 C2 N2'
_cell_length_a 4.9869
_cell_length_b 4.9869
_cell_length_c 9.2595
_cell_angle_alpha 90.00
_cell_angle_beta 90.00
_cell_angle_gamma 90.00
_space_group_name_H-M_alt 'P 42 n m'
_space_group_IT_number 102
loop_
_space_group_symop_operation_xyz
'x,y,z'
'-y+1/2,x+1/2,z+1/2'
'-x,-y,z'
'y+1/2,-x+1/2,z+1/2'
'-x+1/2,y+1/2,z+1/2'
'y,x,z'
'x+1/2,-y+1/2,z+1/2'
'-y,-x,z'
loop_
_atom_site_label
_atom_site_type_symbol
_atom_site_fract_x
_atom_site_fract_y
_atom_site_fract_z
Ti1 Ti 0.2023 0.2023 0.0000
Ti2 Ti 0.2055 0.2055 0.3234
Ti3 Ti 0.2075 0.2075 0.6727
H1 H 0.0000 0.0000 0.4976
C1 C 0.0000 0.0000 0.8352
N1 N 0.0000 0.0000 0.1620
```

Properties
energy = -149.6 eV per cell



First-principles (PBE) data for a geometry-optimized Zr2Ga3Pd structure, as listed in the Alexandria database.

Structure (CIF):
```
data_Zr2Ga3Pd
_chemical_formula_sum 'Zr4 Ga6 Pd2'
_cell_length_a 10.0601
_cell_length_b 4.2643
_cell_length_c 6.6128
_cell_angle_alpha 90.00
_cell_angle_beta 131.07
_cell_angle_gamma 90.00
_space_group_name_H-M_alt 'C 1 m 1'
_space_group_IT_number 8
loop_
_space_group_symop_operation_xyz
'x,y,z'
'x,-y,z'
'x+1/2,y+1/2,z'
'x+1/2,-y+1/2,z'
loop_
_atom_site_label
_atom_site_type_symbol
_atom_site_fract_x
_atom_site_fract_y
_atom_site_fract_z
Zr1 Zr 0.0000 0.0000 0.0000
Zr2 Zr 0.0827 0.0000 0.5835
Ga1 Ga 0.1936 0.5000 0.4144
Ga2 Ga 0.2054 0.5000 0.9958
Ga3 Ga 0.3770 0.0000 0.5910
Pd1 Pd 0.3721 0.0000 0.1868
```

Properties
energy = -70.6 eV per cell
energy of formation = -0.65 eV per atom



First-principles (PBE) data for a geometry-optimized CsPtSeBr2 structure, as listed in the Alexandria database.

Structure (CIF):
```
data_CsPtSeBr2
_chemical_formula_sum 'Cs1 Pt1 Se1 Br2'
_cell_length_a 5.5799
_cell_length_b 5.5799
_cell_length_c 4.8463
_cell_angle_alpha 90.00
_cell_angle_beta 90.00
_cell_angle_gamma 90.00
_space_group_name_H-M_alt 'P 4/m m m'
_space_group_IT_number 123
_space_group_name_Hall '-P 4 2'
loop_
_atom_site_label
_atom_site_type_symbol
_atom_site_fract_x
_atom_site_fract_y
_atom_site_fract_z
Cs1 Cs 0.0000 0.0000 0.0000
Pt1 Pt 0.5000 0.5000 0.5000
Se1 Se 0.5000 0.5000 0.0000
Br1 Br 0.0000 0.5000 0.5000
```

Properties
energy above the most stable polymorph in this dataset = 0.0 meV/atom
energy = -16.7 eV per cell
formation energy from raw total energies = -0.592 eV per atom



First-principles (PBE) data for a geometry-optimized Nd3DyS6 structure, as listed in the Alexandria database.

Structure (CIF):
```
data_Nd3DyS6
_chemical_formula_sum 'Nd18 Dy6 S36'
_cell_length_a 11.8092
_cell_length_b 11.8092
_cell_length_c 13.9281
_cell_angle_alpha 90.00
_cell_angle_beta 90.00
_cell_angle_gamma 120.00
_space_group_name_H-M_alt 'R -3'
_space_group_IT_number 148
_space_group_name_Hall '-R 3'
loop_
_atom_site_label
_atom_site_type_symbol
_atom_site_fract_x
_atom_site_fract_y
_atom_site_fract_z
Nd1 Nd 0.0484 0.7784 0.2027
Dy1 Dy 0.0000 0.0000 0.0000
Dy2 Dy 0.0000 0.0000 0.5000
S1 S 0.0226 0.8120 0.4000
S2 S 0.0310 0.8399 0.8778
```

Properties
energy = -385.3 eV per cell
formation energy from raw total energies = -2.055 eV per atom



First-principles (PBE) data for a geometry-optimized Na8CdAg2 structure, as listed in the Alexandria database.

Structure (CIF):
```
data_Na8CdAg2
_chemical_formula_sum 'Na16 Cd2 Ag4'
_cell_length_a 17.1486
_cell_length_b 5.0478
_cell_length_c 7.7977
_cell_angle_alpha 90.00
_cell_angle_beta 111.00
_cell_angle_gamma 90.00
_space_group_name_H-M_alt 'C 1 2/m 1'
_space_group_IT_number 12
loop_
_space_group_symop_operation_xyz
'x,y,z'
'-x,-y,-z'
'-x,y,-z'
'x,-y,z'
'x+1/2,y+1/2,z'
'-x+1/2,-y+1/2,-z'
'-x+1/2,y+1/2,-z'
'x+1/2,-y+1/2,z'
loop_
_atom_site_label
_atom_site_type_symbol
_atom_site_fract_x
_atom_site_fract_y
_atom_site_fract_z
Na1 Na 0.0341 0.0000 0.2436
Na2 Na 0.1166 0.5000 0.9552
Na3 Na 0.1684 0.0000 0.7386
Na4 Na 0.1745 0.5000 0.4224
Cd1 Cd 0.0000 0.5000 0.5000
Ag1 Ag 0.2033 0.0000 0.1733
```

Properties
energy = -34.6 eV per cell
energy of formation = -0.01 eV per atom



First-principles (PBE) data for a geometry-optimized As2SBrF structure, as listed in the Alexandria database.

Structure (CIF):
```
data_As2SBrF
_chemical_formula_sum 'As2 S1 Br1 F1'
_cell_length_a 4.8407
_cell_length_b 4.8407
_cell_length_c 5.1012
_cell_angle_alpha 90.00
_cell_angle_beta 90.00
_cell_angle_gamma 90.00
_space_group_name_H-M_alt 'P 4/m m m'
_space_group_IT_number 123
_space_group_name_Hall '-P 4 2'
loop_
_atom_site_label
_atom_site_type_symbol
_atom_site_fract_x
_atom_site_fract_y
_atom_site_fract_z
As1 As 0.0000 0.5000 0.0000
S1 S 0.0000 0.0000 0.0000
Br1 Br 0.0000 0.0000 0.5000
F1 F 0.5000 0.5000 0.5000
```

Properties
energy above the most stable polymorph in this dataset = 0.0 meV/atom
energy = -14.4 eV per cell
formation energy from raw total energies = 0.520 eV per atom



First-principles (PBE) data for a geometry-optimized Y2Zr3 structure, as listed in the Alexandria database.

Structure (CIF):
```
data_Y2Zr3
_chemical_formula_sum 'Y2 Zr3'
_cell_length_a 5.1682
_cell_length_b 5.1682
_cell_length_c 6.2290
_cell_angle_alpha 90.00
_cell_angle_beta 90.00
_cell_angle_gamma 120.00
_space_group_name_H-M_alt 'P -3 m 1'
_space_group_IT_number 164
_space_group_name_Hall '-P 3 2"'
loop_
_atom_site_label
_atom_site_type_symbol
_atom_site_fract_x
_atom_site_fract_y
_atom_site_fract_z
Y1 Y 0.3333 0.6667 0.3625
Zr1 Zr 0.0000 0.0000 0.5000
Zr2 Zr 0.3333 0.6667 0.8622
```

Properties
energy above the most stable polymorph in this dataset = 614.4 meV/atom
energy = -34.8 eV per cell
energy of formation = 0.75 eV per atom